Arrangement A

The following is a DFT calculation (GGA-PBE) of an optimized crystal structure of TaCrAu3.

Lattice parameters (Å, degrees): 5.103 5.103 5.103 90.00 90.00 90.00
Positions (direct):
Ta  0.000  0.000  0.000
Cr  0.500  0.500  0.500
Au  0.000  0.000  0.500
Au  0.000  0.500  0.000
Au  0.500  0.000  0.000



Arrangement B

The following is a DFT calculation (GGA-PBE) of an optimized crystal structure of TaCrAu3.

Lattice parameters (Å, degrees): 4.695 4.695 4.695 90.00 90.00 90.00
Positions (direct):
Ta  0.000  0.000  0.000
Cr  0.500  0.500  0.500
Au  0.000  0.500  0.500
Au  0.500  0.000  0.500
Au  0.500  0.500  0.000



arrangement B is the least stable structure shown above.